Compound: AcTlH2
Source: the Alexandria database
Functional: PBE
Structure: relaxed

## Properties
Total DFT energy (no corrections) ... -3.565 eV per atom

CIF file:
```
data_AcTlH2
_chemical_formula_sum 'Ac3 Tl3 H6'
_space_group_name_H-M_alt 'R -3 m'
_space_group_IT_number 166
_space_group_name_Hall '-R 3 2"'
_cell_length_a 4.1593
_cell_length_b 4.1593
_cell_length_c 16.7316
_cell_angle_alpha 90.00
_cell_angle_beta 90.00
_cell_angle_gamma 120.00
loop_
_atom_site_label
_atom_site_fract_x
_atom_site_fract_y
_atom_site_fract_z
Ac1 0.0000 0.0000 0.0000
Tl1 0.0000 0.0000 0.5000
H1 0.0000 0.0000 0.3060
```

=====

Compound: IrPd8Pt2
Source: the Alexandria database
Functional: PBE
Structure: relaxed

## Properties
Formation energy from the elements ... 0.335 eV/atom

CIF file:
```
data_IrPd8Pt2
_chemical_formula_sum 'Ir2 Pd16 Pt4'
_space_group_name_H-M_alt 'C 1 2/m 1'
_space_group_IT_number 12
_cell_length_a 11.671
_cell_length_b 7.210
_cell_length_c 4.645
_cell_angle_alpha 90.00
_cell_angle_beta 101.88
_cell_angle_gamma 90.00
loop_
_space_group_symop_operation_xyz
'x,y,z'
'-x,-y,-z'
'-x,y,-z'
'x,-y,z'
'x+1/2,y+1/2,z'
'-x+1/2,-y+1/2,-z'
'-x+1/2,y+1/2,-z'
'x+1/2,-y+1/2,z'
loop_
_atom_site_label
_atom_site_fract_x
_atom_site_fract_y
_atom_site_fract_z
Ir1 0.000 0.000 0.000
Pd1 0.066 0.315 0.786
Pd2 0.147 0.500 0.328
Pd3 0.229 0.000 0.106
Pt1 0.118 0.000 0.546
```

=====

Compound: CaAc2USe6
Source: the Alexandria database
Functional: PBE
Structure: relaxed

## Properties
Raw formation energy ... -1.701 eV/atom

CIF file:
```
data_CaAc2USe6
_chemical_formula_sum 'Ca1 Ac2 U1 Se6'
_space_group_name_H-M_alt 'P 1'
_space_group_IT_number 1
_cell_length_a 7.621
_cell_length_b 7.622
_cell_length_c 7.913
_cell_angle_alpha 61.22
_cell_angle_beta 61.26
_cell_angle_gamma 60.04
loop_
_space_group_symop_operation_xyz
'x,y,z'
loop_
_atom_site_label
_atom_site_fract_x
_atom_site_fract_y
_atom_site_fract_z
Ca1 0.000 0.000 0.000
Ac1 0.288 0.289 0.136
Ac2 0.792 0.792 0.624
U1 0.495 0.495 0.515
Se1 0.130 0.375 0.790
Se2 0.226 0.856 0.293
Se3 0.374 0.706 0.790
Se4 0.627 0.225 0.293
Se5 0.706 0.130 0.790
Se6 0.856 0.626 0.293
```

=====

Compound: K3In4Hg2
Source: the Alexandria database
Functional: PBE
Structure: relaxed

## Properties
Formation energy from the elements ... -0.126 eV/atom

CIF file:
```
data_K3In4Hg2
_chemical_formula_sum 'K3 In4 Hg2'
_space_group_name_H-M_alt 'P -1'
_space_group_IT_number 2
_cell_length_a 5.123
_cell_length_b 7.029
_cell_length_c 10.214
_cell_angle_alpha 99.23
_cell_angle_beta 104.25
_cell_angle_gamma 111.29
loop_
_space_group_symop_operation_xyz
'x,y,z'
'-x,-y,-z'
loop_
_atom_site_label
_atom_site_fract_x
_atom_site_fract_y
_atom_site_fract_z
K1 0.000 0.000 0.000
K2 0.252 0.874 0.631
In1 0.356 0.646 0.065
In2 0.443 0.529 0.359
Hg1 0.053 0.355 0.751
```

=====

no.,DOS at the Fermi energy (states/eV/atom)
1,0.537
2,1.947
3,0.555
4,0.385